No. 1
This record from the Alexandria database describes an optimized crystal structure of NdAsClO4. The functional is PBE.

Properties
**Theoretical density**: 3.97 g/cm3
**Space-group type**: C2/m, No. 12
**ΔE_f (raw)**: -1.89 eV per atom

a b c (Å): 6.6136 6.6136 7.0181
angles (deg): 80.04 80.04 62.34
With the nearest neighbours (Å) after each atom.
Fractional positions:
Nd 0.2925 0.2925 0.8371  4 O 2.25-2.39
Nd 0.7075 0.7075 0.1629  4 O 2.25-2.39
As 0.6482 0.6482 0.7229  4 O 1.69-1.74
As 0.3518 0.3518 0.2771  4 O 1.69-1.74
Cl 0.0257 0.0257 0.1277  1 Cl 1.99
Cl 0.9743 0.9743 0.8723  1 Cl 1.99
O 0.2794 0.2794 0.5128  1 As 1.69
O 0.7206 0.7206 0.4872  1 As 1.69
O 0.1155 0.4964 0.1443  1 As 1.74
O 0.5047 0.5047 0.2517  1 As 1.70
O 0.5036 0.8845 0.8557  1 As 1.74
O 0.4964 0.1155 0.1443  1 As 1.74
O 0.4953 0.4953 0.7483  1 As 1.70
O 0.8845 0.5036 0.8557  1 As 1.74

---

No. 2
This record from the Alexandria database describes an optimized crystal structure of SiB. The functional is PBE.

Properties
**Theoretical density**: 2.77 g/cm3
**Space-group type**: Fmm2, No. 42
**ΔE_f (raw)**: 0.27 eV per atom

a b c (Å): 10.3719 2.9439 6.1103
angles (deg): 90.00 90.00 90.00
With the nearest neighbours (Å) after each atom.
Fractional positions:
Si 0.6151 0.0000 0.3072  4 B 2.04-2.28
Si 0.3849 0.0000 0.3072  4 B 2.04-2.28
Si 0.6151 0.5000 0.8072  4 B 2.04-2.28
Si 0.3849 0.5000 0.8072  4 B 2.04-2.28
Si 0.1151 0.0000 0.8072  4 B 2.04-2.28
Si 0.8849 0.0000 0.8072  4 B 2.04-2.28
Si 0.1151 0.5000 0.3072  4 B 2.04-2.28
Si 0.8849 0.5000 0.3072  4 B 2.04-2.28
B 0.1984 0.0000 0.1098  2 B 1.82
B 0.8016 0.0000 0.1098  2 B 1.82
B 0.1984 0.5000 0.6098  2 B 1.82
B 0.8016 0.5000 0.6098  2 B 1.82
B 0.6984 0.0000 0.6098  2 B 1.82
B 0.3016 0.0000 0.6098  2 B 1.82
B 0.6984 0.5000 0.1098  2 B 1.82
B 0.3016 0.5000 0.1098  2 B 1.82

---

No. 3
This record from the Alexandria database describes an optimized crystal structure of In2RePt. The functional is PBE.

Properties
**Theoretical density**: 13.87 g/cm3
**Space-group type**: P2/m, No. 10
**Energy of formation from the pure elements**: 1.4 eV/f.u.

a b c (Å): 4.4656 2.8871 5.6860
angles (deg): 86.04 90.00 90.00
With the nearest neighbours (Å) after each atom.
Fractional positions:
In 0.0000 0.0988 0.9947  2 Pt 2.71, 2 Re 2.85, 3 In 2.86-2.89
In 0.0000 0.4012 0.5053  2 Pt 2.71, 2 Re 2.85, 3 In 2.86-2.89
Pt 0.5000 0.2500 0.2500  4 In 2.71, 2 Pt 2.89
Re 0.5000 0.7500 0.7500  8 In 2.85-3.18, 2 Re 2.89, 2 Pt 3.10

---

No. 4
This record from the Alexandria database describes an optimized crystal structure of Tb2SmTm2Sc. The functional is PBE.

Properties
**Theoretical density**: 7.81 g/cm3
**Space-group type**: Pnnm, No. 58
**Energy of formation from the pure elements**: 0.6 eV/f.u.

a b c (Å): 5.5088 9.5949 6.8459
angles (deg): 90.00 90.00 90.00
With the nearest neighbours (Å) after each atom.
Fractional positions:
Tb 0.5000 0.8338 0.2456  5 Tm 3.19-3.46
Tb 0.5000 0.1662 0.7544  5 Tm 3.19-3.46
Tb 0.0000 0.6662 0.7456  5 Tm 3.19-3.46
Tb 0.0000 0.3338 0.2544  5 Tm 3.19-3.46
Sm 0.5000 0.5000 0.0000  2 Sc 3.42, 6 Tb 3.62-3.63, 6 Tm 3.62
Sm 0.0000 0.0000 0.5000  2 Sc 3.42, 6 Tb 3.62-3.63, 6 Tm 3.62
Tm 0.5000 0.1671 0.2489  5 Tb 3.19-3.46
Tm 0.0000 0.6671 0.2511  5 Tb 3.19-3.46
Tm 0.5000 0.8329 0.7511  5 Tb 3.19-3.46
Tm 0.0000 0.3329 0.7489  5 Tb 3.19-3.46
Sc 0.0000 0.0000 0.0000  2 Sm 3.42, 6 Tb 3.60-3.65, 6 Tm 3.61-3.63
Sc 0.5000 0.5000 0.5000  2 Sm 3.42, 6 Tb 3.60-3.65, 6 Tm 3.61-3.63

---

No. 5
This record from the Alexandria database describes an optimized crystal structure of PrU2S5. The functional is PBE.

Properties
**Theoretical density**: 7.33 g/cm3
**Space-group type**: Pna2_1, No. 33
**ΔE_f (raw)**: -1.61 eV per atom

a b c (Å): 7.4445 8.0082 11.8214
angles (deg): 90.00 90.00 90.00
With the nearest neighbours (Å) after each atom.
Fractional positions:
Pr 0.0244 0.5000 0.8226  8 S 2.89-3.03
Pr 0.9756 0.0000 0.1774  8 S 2.89-3.03
Pr 0.5244 0.0000 0.6774  8 S 2.89-3.03
Pr 0.4756 0.5000 0.3226  8 S 2.89-3.03
U 0.5738 0.2494 0.9924  7 S 2.65-2.86
U 0.9262 0.2494 0.4924  7 S 2.65-2.86
U 0.4262 0.7494 0.0076  7 S 2.65-2.86
U 0.0738 0.7494 0.5076  7 S 2.65-2.86
U 0.4811 0.0015 0.3203  8 S 2.81-3.05
U 0.5189 0.5015 0.6797  8 S 2.81-3.05
U 0.9811 0.5015 0.1797  8 S 2.81-3.05
U 0.0189 0.0015 0.8203  8 S 2.81-3.05
S 0.3456 0.0416 0.1006  3 U 2.65-2.81, 1 Pr 2.92
S 0.1708 0.4547 0.5939  3 U 2.67-2.81, 1 Pr 2.94
S 0.6544 0.5416 0.8994  3 U 2.65-2.81, 1 Pr 2.92
S 0.8292 0.9547 0.4061  3 U 2.67-2.81, 1 Pr 2.94
S 0.6708 0.9547 0.9061  3 U 2.67-2.81, 1 Pr 2.94
S 0.8456 0.5416 0.3994  3 U 2.65-2.81, 1 Pr 2.92
S 0.3292 0.4547 0.0939  3 U 2.67-2.81, 1 Pr 2.94
S 0.1544 0.0416 0.6006  3 U 2.65-2.81, 1 Pr 2.92
S 0.6996 0.2513 0.2153  3 U 2.80-2.93, 2 Pr 2.89-2.91
S 0.8004 0.2513 0.7153  3 U 2.80-2.93, 2 Pr 2.89-2.91
S 0.3004 0.7514 0.7847  3 U 2.80-2.93, 2 Pr 2.89-2.91
S 0.1996 0.7514 0.2847  3 U 2.80-2.93, 2 Pr 2.89-2.91
S 0.3296 0.2492 0.8134  3 U 2.79-3.05, 2 Pr 2.94-3.03
S 0.1704 0.2492 0.3134  3 U 2.79-3.05, 2 Pr 2.94-3.03
S 0.6704 0.7492 0.1867  3 U 2.79-3.05, 2 Pr 2.94-3.03
S 0.8296 0.7492 0.6867  3 U 2.79-3.05, 2 Pr 2.94-3.03
S 0.9579 0.2522 0.9989  3 U 2.86-2.95, 2 Pr 2.92, 1 S 3.20
S 0.5421 0.2522 0.4989  3 U 2.86-2.95, 2 Pr 2.92, 1 S 3.20
S 0.0421 0.7522 0.0010  3 U 2.86-2.95, 2 Pr 2.92, 1 S 3.20
S 0.4579 0.7522 0.5010  3 U 2.86-2.95, 2 Pr 2.92, 1 S 3.20

---

No. 6
This record from the Alexandria database describes an optimized crystal structure of UFeP2. The functional is PBE.

Properties
**Theoretical density**: 5.76 g/cm3
**Space-group type**: R-3m, No. 166
**Energy of formation from the pure elements**: 0.5 eV/f.u.

a b c (Å): 4.1404 4.1404 7.3083
angles (deg): 73.54 73.54 60.00
With the nearest neighbours (Å) after each atom.
Fractional positions:
P 0.1063 0.1063 0.6810  1 Fe 2.20
P 0.8937 0.8937 0.3190  1 Fe 2.20
U 0.5000 0.5000 0.5000  6 P 2.70
Fe 0.0000 0.0000 0.0000  2 P 2.20

---

No. 7
This record from the Alexandria database describes an optimized crystal structure of Zr2Au3. The functional is PBE.

Properties
**Theoretical density**: 11.68 g/cm3
**Space-group type**: R-3m, No. 166
**Energy of formation from the pure elements**: -1.3 eV/f.u.

a b c (Å): 9.8608 9.8608 9.8608
angles (deg): 21.21 21.21 21.21
With the nearest neighbours (Å) after each atom.
Fractional positions:
Zr 0.4008 0.4008 0.4008  6 Au 2.79-2.86
Zr 0.5992 0.5992 0.5992  6 Au 2.79-2.86
Au 0.0000 0.0000 0.0000  6 Zr 2.86
Au 0.2022 0.2022 0.2022  3 Zr 2.79, 3 Au 2.93
Au 0.7978 0.7978 0.7978  3 Zr 2.79, 3 Au 2.93

---

No. 8
This record from the Alexandria database describes an optimized crystal structure of Cd5Pd3. The functional is PBE.

Properties
**Theoretical density**: 9.95 g/cm3
**Space-group type**: Cmmm, No. 65
**Energy of formation from the pure elements**: -2.5 eV/f.u.

a b c (Å): 4.3660 5.8083 5.8083
angles (deg): 93.19 90.00 90.00
With the nearest neighbours (Å) after each atom.
Fractional positions:
Cd 0.0000 0.0000 0.0000  4 Pd 2.90, 8 Cd 2.90-3.12
Cd 0.0000 0.0000 0.5000  6 Pd 2.90-2.96, 6 Cd 2.90-3.05
Cd 0.0000 0.5000 0.0000  6 Cd 2.90-3.05, 6 Pd 2.90-2.96
Cd 0.5000 0.2796 0.2796  6 Pd 2.80-2.94, 6 Cd 3.05-3.12
Cd 0.5000 0.7204 0.7204  6 Pd 2.80-2.94, 6 Cd 3.05-3.12
Pd 0.0000 0.5000 0.5000  8 Cd 2.80-2.90
Pd 0.5000 0.7736 0.2264  10 Cd 2.90-2.96, 2 Pd 3.18
Pd 0.5000 0.2264 0.7736  10 Cd 2.90-2.96, 2 Pd 3.18

---

Number 1: total energy -6.329 eV per atom. Number 2: total energy -5.777 eV per atom. Number 3: total energy -5.645 eV per atom. Number 4: total energy -4.776 eV per atom. Number 5: total energy -7.613 eV per atom. Number 6: total energy -7.509 eV per atom. Number 7: total energy -5.642 eV per atom. Number 8: total energy -2.826 eV per atom.